Material: Zn2CuHg
Method: DFT, PBE-GGA
State: relaxed

abc: 4.5016 3.0649 4.9115
angles: 93.81 90.00 90.00
Positions (direct):
Cu1 0.5000 0.2500 0.2500
Hg1 0.5000 0.7500 0.7500
Zn1 0.0000 0.5069 0.4719
Zn2 0.0000 0.9931 0.0281

## Properties
The value obtained for the total energy is -6.48 eV/f.u. Its calculated density is 9.700 g/cm3. As for the total moment: 0.00 μB/cell.